Entry 1:
A geometry-optimized DyEr2Hg3 structure, computed with PBE.

Lattice parameters (Å, degrees): 3.708 3.708 11.069 90.00 90.00 90.00
Fractional coordinates of all 6 atoms:
Er1 0.500 0.500 0.166
Er2 0.500 0.500 0.834
Hg1 0.000 0.000 0.000
Hg2 0.000 0.000 0.331
Hg3 0.000 0.000 0.669
Dy1 0.500 0.500 0.500

Properties
- Calculated formation energy: -480.6 meV per atom
- Energy: -2.919 eV/atom
- M_tot: 0.0 μB/f.u.
- DOS at the Fermi energy: 5.29 states/eV/cell
- V: 25.4 Å³/atom
- Crystal system: tetragonal

***

Entry 2:
A geometry-optimized Na2PrCoH8 structure, computed with PBE.

Lattice parameters (Å, degrees): 4.713 4.713 6.120 90.00 90.00 120.00
Fractional coordinates of all 12 atoms:
Co1 0.000 0.000 0.000
Na1 0.667 0.333 0.125
Na2 0.333 0.667 0.875
H1 0.150 0.850 0.153
H2 0.667 0.333 0.490
H3 0.850 0.700 0.847
H4 0.300 0.150 0.847
H5 0.850 0.150 0.847
H6 0.150 0.300 0.153
H7 0.700 0.850 0.153
H8 0.333 0.667 0.510
Pr1 0.000 0.000 0.500

Properties
- Energy: -3.732 eV/atom
- M_tot: 0.0 μB/f.u.
- V: 9.8 Å³/atom
- Crystal system: trigonal

***

Entry 3:
A geometry-optimized Ba2PuBeO6 structure, computed with PBE.

Lattice parameters (Å, degrees): 5.992 6.604 7.427 90.00 90.00 90.00
Site moments in Bohr magnetons follow the coordinates.
Fractional coordinates of all 20 atoms:
O1 0.500 0.266 0.792  -0.07
O2 0.729 0.060 0.500  -0.08
O3 0.256 0.505 0.000  -0.07
O4 0.500 0.266 0.208  -0.07
O5 0.000 0.734 0.708  -0.07
O6 0.229 0.940 0.000  -0.08
O7 0.271 0.060 0.500  -0.08
O8 0.244 0.495 0.500  -0.07
O9 0.744 0.505 0.000  -0.07
O10 0.771 0.940 0.000  -0.08
O11 0.756 0.495 0.500  -0.07
O12 0.000 0.734 0.292  -0.07
Be1 0.000 0.636 0.500  -0.01
Be2 0.500 0.364 0.000  -0.01
Ba1 0.000 0.213 0.239  0.01
Ba2 0.500 0.787 0.739  0.01
Ba3 0.000 0.213 0.761  0.01
Ba4 0.500 0.787 0.261  0.01
Pu1 0.500 0.283 0.500  2.45
Pu2 0.000 0.717 0.000  2.45

Properties
- Energy: -7.827 eV/atom
- M_tot: 2.0 μB/f.u.
- DOS at the Fermi energy: 13.08 states/eV/cell
- V: 14.7 Å³/atom
- Crystal system: orthorhombic

***

Entry 4:
A geometry-optimized Y2BeSi3Pt4 structure, computed with PBE.

Lattice parameters (Å, degrees): 4.146 4.146 9.884 90.00 90.00 90.00
Fractional coordinates of all 10 atoms:
Si1 0.000 0.500 0.138
Si2 0.500 0.000 0.862
Si3 0.000 0.000 0.500
Pt1 0.000 0.500 0.377
Pt2 0.000 0.000 0.000
Pt3 0.500 0.500 0.000
Pt4 0.500 0.000 0.623
Y1 0.500 0.000 0.260
Y2 0.000 0.500 0.740
Be1 0.500 0.500 0.500

Properties
- Energy: -6.786 eV/atom
- M_tot: 0.0 μB/f.u.
- DOS at the Fermi energy: 4.72 states/eV/cell
- V: 17.0 Å³/atom
- Crystal system: tetragonal

***

Entry 5:
A geometry-optimized Pm2Si3GeRh4 structure, computed with PBE.

Lattice parameters (Å, degrees): 4.206 4.206 9.844 90.00 90.00 90.00
Fractional coordinates of all 10 atoms:
Ge1 0.500 0.500 0.500
Si1 0.000 0.000 0.500
Si2 0.500 0.000 0.873
Si3 0.000 0.500 0.127
Rh1 0.000 0.000 0.000
Rh2 0.500 0.500 0.000
Rh3 0.000 0.500 0.369
Rh4 0.500 0.000 0.631
Pm1 0.000 0.500 0.745
Pm2 0.500 0.000 0.255

Properties
- Energy: -6.989 eV/atom
- M_tot: 0.0 μB/f.u.
- DOS at the Fermi energy: 4.90 states/eV/cell
- V: 17.4 Å³/atom
- Crystal system: tetragonal

***

Entry 6:
A geometry-optimized Ti7Sb2As2 structure, computed with PBE.

Lattice parameters (Å, degrees): 3.591 8.141 8.141 59.37 77.26 77.26
Fractional coordinates of all 11 atoms:
As1 0.272 0.316 0.140
As2 0.728 0.860 0.684
Sb1 0.000 0.746 0.254
Sb2 0.500 0.350 0.650
Ti1 0.500 0.010 0.990
Ti2 0.632 0.475 0.260
Ti3 0.159 0.139 0.543
Ti4 0.841 0.457 0.861
Ti5 0.820 0.061 0.299
Ti6 0.180 0.701 0.939
Ti7 0.368 0.740 0.525

Properties
- Energy: -7.240 eV/atom
- Relative energy among the computed polymorphs: 0.0 meV/atom
- M_tot: 0.0 μB/f.u.
- DOS at the Fermi energy: 12.81 states/eV/cell
- V: 18.0 Å³/atom
- Crystal system: orthorhombic

***

Entry 7:
A geometry-optimized Na2YScI structure, computed with PBE.

Lattice parameters (Å, degrees): 6.375 5.701 6.375 90.00 90.00 90.00
Site moments in Bohr magnetons follow the coordinates.
Fractional coordinates of all 5 atoms:
Sc1 0.500 0.500 0.500  0.81
I1 0.000 0.500 0.000  0.00
Y1 0.000 0.000 0.000  0.08
Na1 0.500 0.000 0.000  0.00
Na2 0.000 0.000 0.500  -0.01

Properties
- Energy: -2.684 eV/atom
- M_tot: 1.5 μB/f.u.
- DOS at the Fermi energy: 10.58 states/eV/cell
- V: 46.3 Å³/atom
- Crystal system: tetragonal

***

Entry 8:
A geometry-optimized Na2Zn5Ag5 structure, computed with PBE.

Lattice parameters (Å, degrees): 4.560 5.361 9.390 90.00 90.00 90.00
Fractional coordinates of all 12 atoms:
Zn1 0.500 0.249 0.745
Zn2 0.500 0.751 0.745
Zn3 0.500 0.500 0.500
Zn4 0.500 0.249 0.255
Zn5 0.500 0.751 0.255
Ag1 0.000 0.000 0.818
Ag2 0.500 0.000 0.000
Ag3 0.000 0.000 0.182
Ag4 0.000 0.500 0.666
Ag5 0.000 0.500 0.334
Na1 0.000 0.000 0.500
Na2 0.000 0.500 0.000

Properties
- Calculated formation energy: -64.9 meV per atom
- Energy: -2.004 eV/atom
- M_tot: 0.0 μB/f.u.
- DOS at the Fermi energy: 3.21 states/eV/cell
- V: 19.1 Å³/atom
- Crystal system: orthorhombic

***

- The lowest V belongs to which entry?
  Na2PrCoH8

***

- Which of these has the lowest energy?
  Ba2PuBeO6